# NdPaFe PBE-GGA relaxed
data_NdPaFe
_cell_length_a 3.6807
_cell_length_b 3.6807
_cell_length_c 6.2731
_cell_angle_alpha 90.00
_cell_angle_beta 90.00
_cell_angle_gamma 120.00
_symmetry_space_group_name_H-M 'P 3 m 1'
_symmetry_Int_Tables_number 156
_symmetry_space_group_name_Hall 'P 3 -2"'
loop_
_atom_site_label
_atom_site_type_symbol
_atom_site_fract_x
_atom_site_fract_y
_atom_site_fract_z
Nd1 Nd 0.0000 0.0000 0.0000
Pa1 Pa 0.6667 0.3333 0.4844
Fe1 Fe 0.3333 0.6667 0.6827
# E_form in eV per atom: 0.079
# Raw total energy in Ry per atom: -0.5510
# Density in kg/m³: 9727